Below is BaCo2NiF8 after structural relaxation, with properties calculated at the PBE+U level.

Values from the calculation:
- total moment (μB per formula unit) = 8.0
- final energy (eV for the cell shown) = -59.71

a = 4.5670 Å, b = 5.0132 Å, c = 7.8271 Å
α = 95.08°, β = 91.98°, γ = 93.46°
Space group P-1 (No. 2)
One atom of each set of equivalent atoms:
Ba 0.0000 0.0000 0.0000 [1 per cell]
Co 0.4806 0.5307 0.6914 [2 per cell]
Ni 0.0000 0.0000 0.5000 [1 per cell]
F 0.1506 0.2246 0.3175 [2 per cell]
F 0.1810 0.2352 0.7131 [2 per cell]
F 0.3303 0.7264 0.4883 [2 per cell]
F 0.4444 0.7240 0.9170 [2 per cell]